(1)
# CdNi2P

CdNi2P after structural relaxation (PBE-GGA, Alexandria via LeMat-Bulk).

Cell and atoms, written as POSCAR:
```
CdNi2P
1.0
-1.255 -6.078 4.714
0.869 -7.130 3.025
1.526 -5.478 5.330
Cd Ni P
1 2 1
direct
0.000 0.000 0.000 Cd
0.767 0.767 0.767 Ni
0.233 0.233 0.233 Ni
0.500 0.500 0.500 P
```

Summary:
Energy of formation from the pure elements   -11 kJ per mole of atoms
Symmetry   R-3m (166)
Uncorrected energy   -4.588 eV/atom

(2)
# CdNiP3

CdNiP3 after structural relaxation (PBE-GGA, Alexandria via LeMat-Bulk).

Cell and atoms, written as POSCAR:
```
CdNiP3
1.0
-2.949 -2.553 2.225
-1.107 -2.062 -3.832
3.200 -3.065 0.725
Cd Ni P
1 1 3
direct
0.500 0.500 0.500 Cd
0.000 0.000 0.000 Ni
0.000 0.000 0.500 P
0.000 0.500 0.000 P
0.500 0.000 0.000 P
```

Summary:
Energy of formation from the pure elements   54 kJ per mole of atoms
Symmetry   Pm-3m (221)
Uncorrected energy   -4.025 eV/atom

(3)
# CdNi2P

CdNi2P after structural relaxation (PBE-GGA, Alexandria via LeMat-Bulk).

Cell and atoms, written as POSCAR:
```
CdNi2P
1.0
-2.792 1.741 2.766
-1.142 4.124 -0.408
-3.969 1.013 -1.303
Ni P Cd
2 1 1
direct
0.000 0.000 0.000 Ni
0.250 0.250 0.250 Ni
0.750 0.750 0.750 P
0.500 0.500 0.500 Cd
```

Summary:
Energy of formation from the pure elements   30 kJ per mole of atoms
Symmetry   F-43m (216)
Uncorrected energy   -4.166 eV/atom

(4)
# CdNi2P

CdNi2P after structural relaxation (PBE-GGA, Alexandria via LeMat-Bulk).

Cell and atoms, written as POSCAR:
```
CdNi2P
1.0
0.000 3.000 3.000
3.000 0.000 3.000
3.000 3.000 0.000
Cd Ni P
1 2 1
direct
0.500 0.500 0.500 Cd
0.750 0.750 0.750 Ni
0.250 0.250 0.250 Ni
0.000 0.000 0.000 P
```

Summary:
Energy of formation from the pure elements   10 kJ per mole of atoms
Symmetry   Fm-3m (225)
Uncorrected energy   -4.366 eV/atom

(5)
# CdNi4P

CdNi4P after structural relaxation (PBE-GGA, Alexandria via LeMat-Bulk).

Cell and atoms, written as POSCAR:
```
CdNi4P
1.0
-3.261 -2.600 2.381
-1.597 1.485 4.279
-4.498 1.621 0.454
Ni P Cd
4 1 1
direct
0.375 0.375 0.874 Ni
0.375 0.874 0.375 Ni
0.375 0.375 0.375 Ni
0.874 0.375 0.375 Ni
0.750 0.750 0.750 P
0.000 0.000 0.000 Cd
```

Summary:
Energy of formation from the pure elements   20 kJ per mole of atoms
Symmetry   F-43m (216)
Uncorrected energy   -4.702 eV/atom

(6)
# CdNi2P

CdNi2P after structural relaxation (PBE-GGA, Alexandria via LeMat-Bulk).

Cell and atoms, written as POSCAR:
```
CdNi2P
1.0
3.491 0.000 0.000
0.000 2.857 -0.011
0.000 1.356 5.646
Cd Ni P
1 2 1
direct
0.500 0.500 0.500 Cd
0.000 0.840 0.806 Ni
0.000 0.160 0.194 Ni
0.500 0.500 0.000 P
```

Summary:
Energy of formation from the pure elements   -8 kJ per mole of atoms
Symmetry   P2/m (10)
Uncorrected energy   -4.551 eV/atom